Entry 1:
Y2MoIr2, optimized geometry, DFT PBE; energy relative to the elements = -0.307 eV/atom; symmetry = No. 164
1.0
4.461 0.000 0.000
-2.231 3.864 0.000
0.000 0.000 6.251
Y Mo Ir
2 1 2
Direct
0.333 0.667 0.168
0.667 0.333 0.832
0.000 0.000 0.500
0.333 0.667 0.636
0.667 0.333 0.364

Entry 2:
YInCoPt, optimized geometry, DFT PBE; E = -97.5 eV for the cell shown; symmetry = No. 216
1.0
6.674 0.000 0.000
0.000 6.674 0.000
0.000 0.000 6.674
Y In Co Pt
4 4 4 4
Direct
0.000 0.000 0.000
0.000 0.500 0.500
0.500 0.000 0.500
0.500 0.500 0.000
0.000 0.000 0.500
0.000 0.500 0.000
0.500 0.000 0.000
0.500 0.500 0.500
0.250 0.250 0.750
0.250 0.750 0.250
0.750 0.250 0.250
0.750 0.750 0.750
0.250 0.250 0.250
0.250 0.750 0.750
0.750 0.250 0.750
0.750 0.750 0.250

Entry 3:
ScCdGe, optimized geometry, DFT PBE; E = -52.6 eV for the cell shown; symmetry = No. 65
1.0
4.129 0.000 0.000
0.000 14.418 0.000
0.000 0.000 4.038
Sc Cd Ge
4 4 4
Direct
0.000 0.165 0.000
0.000 0.835 0.000
0.500 0.335 0.000
0.500 0.665 0.000
0.000 0.000 0.500
0.000 0.500 0.000
0.500 0.000 0.000
0.500 0.500 0.500
0.000 0.327 0.500
0.000 0.673 0.500
0.500 0.173 0.500
0.500 0.827 0.500

Computed M_tot (Bohr magnetons per cell) in order:
0.0; 4.2; 0.0